(1)
A plane-wave DFT calculation with GGA-PBE was carried out for a relaxed structure of Sr2GaTe.

Lattice parameters (Å, degrees): 8.675 8.675 7.313 53.62 53.62 90.00
Element x y z (fractional)
Sr 0.624 0.125 0.250
Sr 0.126 0.625 0.250
Sr 0.375 0.376 0.750
Sr 0.875 0.874 0.750
Te 0.000 0.000 0.000
Te 0.750 0.250 0.500
Ga 0.500 0.500 0.000
Ga 0.250 0.750 0.500

- space-group type = I-42d (122)
- energy relative to the elements, uncorrected (kJ/mol of formula units) = -248
- Fermi-level density of states (states/eV/f.u.) = 2.6

---

(2)
A plane-wave DFT calculation with GGA-PBE was carried out for a relaxed structure of Sr2GaTe.

Lattice parameters (Å, degrees): 5.682 5.682 5.682 60.00 60.00 60.00
Element x y z (fractional)
Sr 0.250 0.250 0.250
Sr 0.750 0.750 0.750
Te 0.500 0.500 0.500
Ga 0.000 0.000 0.000

- space-group type = Fm-3m (225)
- energy relative to the elements, uncorrected (kJ/mol of formula units) = -264
- Fermi-level density of states (states/eV/f.u.) = 4.2

---

Number 1: relative energy among the computed polymorphs 41 meV per atom. Number 2: relative energy among the computed polymorphs 0 meV per atom.